Entry from Alexandria: a relaxed structure of PmCd6Pb (GGA-PBE).

Values from the calculation:
DFT formation energy = -1.08 eV/f.u.
Spin magnetization = 0.0 Bohr magnetons per cell

The structure in extended XYZ format:
```
8
Lattice="4.912 0.000 0.000 0.000 6.061 -2.450 0.000 0.487 6.519" Properties=species:S:1:pos:R:3 pbc="T T T"
Cd 2.456 5.698 -1.866
Cd 0.000 3.718 1.319
Cd 0.000 4.396 4.600
Cd 2.456 5.434 1.575
Cd 0.000 0.476 2.164
Cd 2.456 2.729 -0.105
Pm 0.000 1.223 5.335
Pb 2.456 2.514 3.257
```

***

Entry from Alexandria: a relaxed structure of Pm3Cd2Pb6 (GGA-PBE).

Values from the calculation:
DFT formation energy = -2.90 eV/f.u.
Spin magnetization = 0.0 Bohr magnetons per cell

The structure in extended XYZ format:
```
11
Lattice="4.764 0.000 0.000 0.000 4.764 0.000 -2.382 -2.382 15.096" Properties=species:S:1:pos:R:3 pbc="T T T"
Cd 0.000 0.000 10.799
Cd 2.382 2.382 4.297
Pb 0.000 0.000 7.949
Pb 2.382 0.000 12.808
Pb 2.382 0.000 2.288
Pb 0.000 2.382 2.288
Pb 2.382 2.382 7.147
Pb 0.000 2.382 12.808
Pm 0.000 0.000 4.754
Pm 2.382 2.382 10.342
Pm 0.000 0.000 0.000
```

***

Question: Which value of DFT formation energy does entry 2 give?
Answer: -2.90 eV/f.u.

***

Question: spin magnetization of number 1 (PmCd6Pb)?
Answer: 0.0 Bohr magnetons per cell

***

Question: Which value of spin magnetization does entry 1 give?
Answer: 0.0 Bohr magnetons per cell